--- w ---
12
Lattice="4.034 0.000 0.000 0.000 6.799 0.000 0.000 0.000 7.529" Properties=species:S:1:pos:R:3 comment="PmZn4Co PBE relaxed" mass_density_kg_m3=7489 sg="Pmma (51)" magmom_total_mub_per_fu=0.0 pbc="T T T"
Zn 0.000 0.000 3.764
Pm 0.000 2.674 1.882
Zn 2.017 0.262 1.882
Zn 2.017 4.761 0.468
Zn 2.017 4.761 3.297
Zn 2.017 6.537 5.646
Zn 2.017 2.038 7.061
Zn 2.017 2.038 4.232
Co 0.000 5.356 1.882
Co 0.000 1.443 5.646
Zn 0.000 0.000 0.000
Pm 0.000 4.125 5.646



--- x ---
6
Lattice="5.175 0.000 0.000 2.588 4.482 0.000 2.588 1.494 4.226" Properties=species:S:1:pos:R:3 comment="PmZn4Co PBE relaxed" mass_density_kg_m3=7887 sg="F-43m (216)" magmom_total_mub_per_fu=0.0 pbc="T T T"
Zn 6.486 3.745 2.648
Zn 3.865 3.745 2.648
Zn 5.175 1.475 2.648
Co 0.000 0.000 0.000
Zn 5.175 2.988 0.508
Pm 2.588 1.494 1.056



Computed relative energies in units of meV/atom: w 0; x 87



--- w ---
6
Lattice="4.506 0.000 0.000 0.000 5.237 0.000 -2.253 -2.619 5.440" Properties=species:S:1:pos:R:3 comment="Pm2Zn3Co PBE relaxed" mass_density_kg_m3=7051 sg="Immm (71)" magmom_total_mub_per_fu=0.4 pbc="T T T"
Zn 2.253 2.619 1.161
Pm 0.000 2.619 3.169
Zn 0.000 0.000 0.000
Pm 2.253 0.000 2.271
Zn 0.000 0.000 4.279
Co 0.000 2.619 0.000



--- x ---
6
Lattice="3.972 0.000 1.663 1.742 5.014 1.414 -0.156 -0.050 5.946" Properties=species:S:1:pos:R:3 comment="Pm2Zn3Co PBE relaxed" mass_density_kg_m3=7554 sg="Cm (8)" magmom_total_mub_per_fu=0.0 pbc="T T T"
Pm 2.469 0.973 5.250
Zn 3.682 1.278 2.355
Zn 4.318 3.007 6.410
Co 1.218 1.911 2.666
Pm 3.147 4.077 3.633
Zn 1.840 3.648 6.754



Computed relative energies in units of meV/atom: w 264; x 0